Record 1
LuThCuGe | PBE-GGA | relaxed

The formation energy comes out at -0.38 eV/atom. The value obtained for the calculated density is 10.12 g cm⁻³. For the total magnetization, the calculation gives 0.00 μB per formula unit.

It has space group F-43m (No. 216), with a = 7.090 Å, b = 7.090 Å, c = 7.090 Å, α = 90.00°, β = 90.00° and γ = 90.00°. Symmetry generates all atoms from Lu at (0.000, 0.000, 0.000), Th at (0.000, 0.000, 0.500), Cu at (0.250, 0.250, 0.750) and Ge at (0.250, 0.250, 0.250).



Record 2
Ca2Bi3Pt2 | PBE-GGA | relaxed

The formation energy comes out at -0.58 eV/atom. The value obtained for the calculated density is 9.88 g cm⁻³. For the total magnetization, the calculation gives 0.00 μB per formula unit.

It has space group C2/m (No. 12), with a = 11.121 Å, b = 4.354 Å, c = 8.071 Å, α = 90.00°, β = 109.34° and γ = 90.00°. Symmetry generates all atoms from Ca at (0.154, 0.000, 0.317), Bi at (0.000, 0.500, 0.500), Bi at (0.127, 0.500, 0.947) and Pt at (0.162, 0.000, 0.729).



Record 3
Ba6In2Hg | PBE-GGA | relaxed

The formation energy comes out at -0.31 eV/atom. For the energy above the most stable polymorph in this dataset, the calculation gives 0 meV/atom. The value obtained for the calculated density is 5.14 g cm⁻³. For the total magnetization, the calculation gives 0.00 μB per formula unit.

It has space group Pnnm (No. 58), with a = 11.579 Å, b = 11.594 Å, c = 6.033 Å, α = 90.00°, β = 90.00° and γ = 90.00°. Symmetry generates all atoms from Ba at (0.028, 0.201, 0.000), Ba at (0.117, 0.616, 0.500), Ba at (0.200, 0.971, 0.500), In at (0.204, 0.295, 0.500) and Hg at (0.000, 0.500, 0.000).



Record 4
Co2TcIr | PBE-GGA | relaxed

The formation energy comes out at 0.00 eV/atom. For the energy above the most stable polymorph in this dataset, the calculation gives 17 meV/atom. The value obtained for the calculated density is 13.32 g cm⁻³. For the total magnetization, the calculation gives 2.14 μB per formula unit.

It has space group Pmm2 (No. 25), with a = 2.665 Å, b = 3.680 Å, c = 5.187 Å, α = 90.00°, β = 90.00° and γ = 90.00°. Symmetry generates all atoms from Co at (0.000, 0.000, 0.000), Co at (0.500, 0.500, 0.219), Tc at (0.500, 0.500, 0.748) and Ir at (0.000, 0.000, 0.484).



Record 5
Rb2Sn7Ge | PBE-GGA | relaxed

The formation energy comes out at -0.10 eV/atom. The value obtained for the calculated density is 5.21 g cm⁻³. For the total magnetization, the calculation gives 0.00 μB per formula unit.

It has space group P-4m2 (No. 115), with a = 5.131 Å, b = 5.131 Å, c = 13.011 Å, α = 90.00°, β = 90.00° and γ = 90.00°. Symmetry generates all atoms from Rb at (0.000, 0.500, 0.244), Sn at (0.000, 0.000, 0.000), Sn at (0.000, 0.000, 0.500), Sn at (0.000, 0.500, 0.630), Sn at (0.000, 0.500, 0.882), Sn at (0.500, 0.500, 0.500) and Ge at (0.500, 0.500, 0.000).



Record 6
Mg2Si3 | PBE-GGA | relaxed

For the uncorrected formation energy, the calculation gives 2.91 kcal/mol of atoms. For the energy above the most stable polymorph in this dataset, the calculation gives 97 meV/atom. The value obtained for the calculated density is 2.40 g cm⁻³. For the total magnetization, the calculation gives 0.00 μB per formula unit.

It has space group P-1 (No. 2), with a = 4.362 Å, b = 7.557 Å, c = 11.374 Å, α = 88.96°, β = 82.18° and γ = 82.28°. Symmetry generates all atoms from Mg at (0.166, 0.286, 0.266), Mg at (0.238, 0.866, 0.248), Mg at (0.262, 0.180, 0.992), Mg at (0.315, 0.904, 0.588), Si at (0.088, 0.249, 0.526), Si at (0.202, 0.572, 0.108), Si at (0.239, 0.379, 0.714), Si at (0.272, 0.906, 0.832), Si at (0.275, 0.593, 0.889) and Si at (0.327, 0.508, 0.425).